No. 1
Material: MnNi7Ge2Pd2
Method: DFT, GGA-PBE
State: relaxed

POSCAR file:
```
MnNi7Ge2Pd2
1.0
2.390 -2.381 0.000
2.390 2.381 0.000
-1.661 0.000 13.902
Mn Ni Ge Pd
1 7 2 2
Cartesian
0.000 0.000 0.000 Mn
1.197 1.191 1.851 Ni
0.379 0.000 7.450 Ni
1.922 1.191 12.051 Ni
2.390 0.000 0.000 Ni
1.197 -1.191 1.851 Ni
2.740 0.000 6.452 Ni
1.922 -1.191 12.051 Ni
0.098 0.000 5.128 Ge
3.021 0.000 8.773 Ge
0.731 0.000 10.030 Pd
2.388 0.000 3.871 Pd
```

Properties
Its density of states at the Fermi level is 1.190 states/eV per atom. Its symmetry is C2/m. The calculation puts the calculated formation energy at 0.0 eV per formula unit. The energy is -69.22 eV/f.u.

No. 2
Material: MnNiGePd
Method: DFT, GGA-PBE
State: relaxed

POSCAR file:
```
MnNiGePd
1.0
0.000 3.020 3.020
3.020 0.000 3.020
3.020 3.020 0.000
Mn Ni Ge Pd
1 1 1 1
Cartesian
0.000 0.000 0.000 Mn
4.531 4.531 4.531 Ni
3.020 3.020 3.020 Ge
1.510 1.510 1.510 Pd
```

Properties
Its density of states at the Fermi level is 0.629 states/eV per atom. Its symmetry is F-43m. The calculation puts the calculated formation energy at -0.9 eV per formula unit. The energy is -25.62 eV/f.u.

No. 3
Material: Pm2MnNi4Ge3
Method: DFT, GGA-PBE
State: relaxed

POSCAR file:
```
Pm2MnNi4Ge3
1.0
4.126 0.000 0.000
0.000 4.126 0.000
0.000 0.000 9.746
Pm Mn Ni Ge
2 1 4 3
Cartesian
0.000 2.063 2.417 Pm
2.063 0.000 7.330 Pm
0.000 0.000 4.873 Mn
0.000 0.000 0.000 Ni
0.000 2.063 6.160 Ni
2.063 0.000 3.587 Ni
2.063 2.063 0.000 Ni
0.000 2.063 8.521 Ge
2.063 0.000 1.226 Ge
2.063 2.063 4.873 Ge
```

Properties
Its density of states at the Fermi level is 0.757 states/eV per atom. Its symmetry is P-4m2. The calculation puts the calculated formation energy at -5.7 eV per formula unit. The energy is -61.39 eV/f.u.

No. 4
Material: PmMnNiGe2
Method: DFT, GGA-PBE
State: relaxed

POSCAR file:
```
PmMnNiGe2
1.0
-2.060 2.060 5.177
2.060 -2.060 5.177
2.060 2.060 -5.177
Pm Mn Ni Ge
1 1 1 2
Cartesian
0.000 0.000 0.000 Pm
0.000 2.060 2.589 Mn
2.060 0.000 2.589 Ni
0.000 0.000 3.893 Ge
0.000 0.000 6.461 Ge
```

Properties
Its density of states at the Fermi level is 0.547 states/eV per atom. Its symmetry is I-4m2. The calculation puts the calculated formation energy at -2.8 eV per formula unit. The energy is -31.78 eV/f.u.

No. 5
Material: Pr2MnNi3Ge4
Method: DFT, GGA-PBE
State: relaxed

POSCAR file:
```
Pr2MnNi3Ge4
1.0
4.166 0.000 0.000
0.000 4.166 0.000
0.000 0.000 10.042
Pr Mn Ni Ge
2 1 3 4
Cartesian
0.000 2.083 2.450 Pr
2.083 0.000 7.592 Pr
0.000 0.000 5.021 Mn
0.000 2.083 8.824 Ni
2.083 0.000 1.218 Ni
2.083 2.083 5.021 Ni
0.000 0.000 0.000 Ge
0.000 2.083 6.389 Ge
2.083 0.000 3.653 Ge
2.083 2.083 0.000 Ge
```

Properties
Its density of states at the Fermi level is 0.723 states/eV per atom. Its symmetry is P-4m2. The calculation puts the calculated formation energy at -6.2 eV per formula unit. The energy is -60.75 eV/f.u.

No. 6
Material: Pu2MnNi3Ge4
Method: DFT, GGA-PBE
State: relaxed

POSCAR file:
```
Pu2MnNi3Ge4
1.0
4.077 0.000 0.000
0.000 4.077 0.000
0.000 0.000 10.028
Pu Mn Ni Ge
2 1 3 4
Cartesian
0.000 2.038 2.455 Pu
2.038 0.000 7.574 Pu
0.000 0.000 5.014 Mn
0.000 2.038 8.777 Ni
2.038 0.000 1.251 Ni
2.038 2.038 5.014 Ni
0.000 0.000 0.000 Ge
0.000 2.038 6.406 Ge
2.038 0.000 3.623 Ge
2.038 2.038 0.000 Ge
```

Properties
Its density of states at the Fermi level is 2.740 states/eV per atom. Its symmetry is P-4m2. The calculation puts the calculated formation energy at -4.4 eV per formula unit. The energy is -78.01 eV/f.u.

No. 7
Material: Pu2MnNiGe6
Method: DFT, GGA-PBE
State: relaxed

POSCAR file:
```
Pu2MnNiGe6
1.0
3.049 1.761 11.653
-3.049 1.761 11.653
0.000 -3.521 11.653
Pu Mn Ni Ge
4 2 2 12
Cartesian
0.000 0.000 3.901 Pu
0.000 0.000 10.279 Pu
0.000 0.000 24.680 Pu
0.000 0.000 31.058 Pu
0.000 0.000 0.000 Mn
0.000 0.000 17.479 Mn
0.000 0.000 14.966 Ni
0.000 0.000 19.992 Ni
-1.783 -1.030 16.168 Ge
0.000 -1.524 13.073 Ge
-1.320 0.762 13.073 Ge
-1.320 -0.762 21.886 Ge
0.000 -2.059 18.791 Ge
-1.783 1.030 18.791 Ge
1.783 -1.030 16.168 Ge
0.000 2.059 16.168 Ge
1.320 0.762 13.073 Ge
1.320 -0.762 21.886 Ge
0.000 1.524 21.886 Ge
1.783 1.030 18.791 Ge
```

Properties
Its density of states at the Fermi level is 1.892 states/eV per atom. Its symmetry is R-3m. The calculation puts the calculated formation energy at -2.6 eV per formula unit. The energy is -73.87 eV/f.u.

No. 8
Material: Pu3MnNi2Ge6
Method: DFT, GGA-PBE
State: relaxed

POSCAR file:
```
Pu3MnNi2Ge6
1.0
5.965 0.000 0.000
-2.983 5.166 0.000
0.000 0.000 7.482
Pu Mn Ni Ge
3 1 2 6
Cartesian
0.000 0.000 0.000 Pu
0.000 3.444 4.927 Pu
2.983 1.722 2.556 Pu
0.000 0.000 3.741 Mn
0.000 3.444 0.378 Ni
2.983 1.722 7.104 Ni
0.000 1.924 2.246 Ge
-1.317 4.204 2.246 Ge
1.666 0.962 5.236 Ge
1.317 4.204 2.246 Ge
4.299 0.962 5.236 Ge
2.983 3.242 5.236 Ge
```

Properties
Its density of states at the Fermi level is 2.722 states/eV per atom. Its symmetry is P-3m1. The calculation puts the calculated formation energy at -1.5 eV per formula unit. The energy is -92.94 eV/f.u.

No. 9
Material: Pu2MnNi4Ge3
Method: DFT, GGA-PBE
State: relaxed

POSCAR file:
```
Pu2MnNi4Ge3
1.0
4.012 0.000 0.000
0.000 4.012 0.000
0.000 0.000 10.068
Pu Mn Ni Ge
2 1 4 3
Cartesian
0.000 2.006 2.508 Pu
2.006 0.000 7.560 Pu
0.000 0.000 5.034 Mn
0.000 0.000 0.000 Ni
0.000 2.006 6.413 Ni
2.006 0.000 3.656 Ni
2.006 2.006 0.000 Ni
0.000 2.006 8.770 Ge
2.006 0.000 1.298 Ge
2.006 2.006 5.034 Ge
```

Properties
Its density of states at the Fermi level is 2.832 states/eV per atom. Its symmetry is P-4m2. The calculation puts the calculated formation energy at -3.8 eV per formula unit. The energy is -78.61 eV/f.u.

No. 10
Material: MnReNiGe
Method: DFT, GGA-PBE
State: relaxed

POSCAR file:
```
MnReNiGe
1.0
0.000 2.983 2.983
2.983 0.000 2.983
2.983 2.983 0.000
Mn Re Ni Ge
1 1 1 1
Cartesian
0.000 0.000 0.000 Mn
1.492 1.492 1.492 Re
4.475 4.475 4.475 Ni
2.983 2.983 2.983 Ge
```

Properties
Its density of states at the Fermi level is 1.196 states/eV per atom. Its symmetry is F-43m. The calculation puts the calculated formation energy at 0.2 eV per formula unit. The energy is -31.81 eV/f.u.

No. 11
Material: MnNiGeRh
Method: DFT, GGA-PBE
State: relaxed

POSCAR file:
```
MnNiGeRh
1.0
0.000 2.986 2.986
2.986 0.000 2.986
2.986 2.986 0.000
Mn Ni Ge Rh
1 1 1 1
Cartesian
0.000 0.000 0.000 Mn
4.478 4.478 4.478 Ni
2.986 2.986 2.986 Ge
1.493 1.493 1.493 Rh
```

Properties
Its density of states at the Fermi level is 1.025 states/eV per atom. Its symmetry is F-43m. The energy relative to the lowest polymorph listed for this composition is 4.0 kJ per mole of atoms. The calculation puts the calculated formation energy at -1.1 eV per formula unit. The energy is -28.04 eV/f.u.

No. 12
Material: MnNiGeRh
Method: DFT, GGA-PBE
State: relaxed

POSCAR file:
```
MnNiGeRh
1.0
-1.939 1.939 3.510
1.939 -1.939 3.510
1.939 1.939 -3.510
Mn Ni Ge Rh
1 1 1 1
Cartesian
0.000 0.000 0.000 Mn
1.939 0.000 1.755 Ni
0.000 0.000 3.510 Ge
0.000 1.939 1.755 Rh
```

Properties
Its density of states at the Fermi level is 0.299 states/eV per atom. Its symmetry is I-4m2. The energy relative to the lowest polymorph listed for this composition is 0.0 kJ per mole of atoms. The calculation puts the calculated formation energy at -1.3 eV per formula unit. The energy is -28.20 eV/f.u.

No. 13
Material: MnNiGe2Se
Method: DFT, GGA-PBE
State: relaxed

POSCAR file:
```
MnNiGe2Se
1.0
5.181 0.000 0.000
0.000 5.181 0.000
0.000 0.000 4.170
Mn Ni Ge Se
1 1 2 1
Cartesian
0.000 0.000 0.000 Mn
2.591 2.591 0.000 Ni
0.000 2.591 2.085 Ge
2.591 0.000 2.085 Ge
2.591 2.591 2.085 Se
```

Properties
Its density of states at the Fermi level is 0.773 states/eV per atom. Its symmetry is P4/mmm. The energy is -23.56 eV/f.u.

No. 14
Material: Sm2MnNi3Ge4
Method: DFT, GGA-PBE
State: relaxed

POSCAR file:
```
Sm2MnNi3Ge4
1.0
4.108 0.000 0.000
0.000 4.108 0.000
0.000 0.000 10.014
Sm Mn Ni Ge
2 1 3 4
Cartesian
0.000 2.054 2.443 Sm
2.054 0.000 7.571 Sm
0.000 0.000 5.007 Mn
0.000 2.054 8.779 Ni
2.054 0.000 1.235 Ni
2.054 2.054 5.007 Ni
0.000 0.000 0.000 Ge
0.000 2.054 6.387 Ge
2.054 0.000 3.627 Ge
2.054 2.054 0.000 Ge
```

Properties
Its density of states at the Fermi level is 0.660 states/eV per atom. Its symmetry is P-4m2. The calculation puts the calculated formation energy at -6.3 eV per formula unit. The energy is -60.76 eV/f.u.

No. 15
Material: MnNi7Sn2Ge2
Method: DFT, GGA-PBE
State: relaxed

POSCAR file:
```
MnNi7Sn2Ge2
1.0
2.560 -2.560 0.000
2.560 2.560 0.000
-1.266 0.000 13.622
Mn Ni Sn Ge
1 7 2 2
Cartesian
0.000 0.000 0.000 Mn
1.284 1.277 1.767 Ni
1.215 0.000 7.910 Ni
2.569 1.277 11.855 Ni
2.560 0.000 0.000 Ni
1.284 -1.277 1.767 Ni
2.639 0.000 5.712 Ni
2.569 -1.277 11.855 Ni
0.111 0.000 5.374 Sn
3.743 0.000 8.248 Sn
1.273 0.000 10.305 Ge
2.580 0.000 3.316 Ge
```

Properties
Its density of states at the Fermi level is 0.859 states/eV per atom. Its symmetry is C2/m. The calculation puts the calculated formation energy at -0.6 eV per formula unit. The energy is -67.52 eV/f.u.

No. 16
Material: Sr2MnNi3Ge4
Method: DFT, GGA-PBE
State: relaxed

POSCAR file:
```
Sr2MnNi3Ge4
1.0
4.207 0.000 0.000
0.000 4.207 0.000
0.000 0.000 10.244
Sr Mn Ni Ge
2 1 3 4
Cartesian
0.000 2.103 2.521 Sr
2.103 0.000 7.723 Sr
0.000 0.000 5.122 Mn
0.000 2.103 9.007 Ni
2.103 0.000 1.237 Ni
2.103 2.103 5.122 Ni
0.000 0.000 0.000 Ge
0.000 2.103 6.450 Ge
2.103 0.000 3.794 Ge
2.103 2.103 0.000 Ge
```

Properties
Its density of states at the Fermi level is 0.532 states/eV per atom. Its symmetry is P-4m2. The calculation puts the calculated formation energy at -4.3 eV per formula unit. The energy is -52.62 eV/f.u.

No. 17
Material: Ta2MnNi7Ge2
Method: DFT, GGA-PBE
State: relaxed

POSCAR file:
```
Ta2MnNi7Ge2
1.0
-1.661 1.661 14.626
1.661 -1.661 14.626
1.661 1.661 -14.626
Ta Mn Ni Ge
2 1 7 2
Cartesian
0.000 0.000 3.864 Ta
0.000 0.000 25.388 Ta
0.000 0.000 14.626 Mn
0.000 0.000 0.000 Ni
1.661 0.000 1.945 Ni
0.000 0.000 6.611 Ni
1.661 0.000 12.681 Ni
0.000 1.661 1.945 Ni
0.000 0.000 22.640 Ni
0.000 1.661 12.681 Ni
0.000 0.000 9.031 Ge
0.000 0.000 20.220 Ge
```

Properties
Its density of states at the Fermi level is 0.824 states/eV per atom. Its symmetry is I4/mmm. The calculation puts the calculated formation energy at -0.1 eV per formula unit. The energy is -82.65 eV/f.u.

No. 18
Material: Tb2MnNi4Ge3
Method: DFT, GGA-PBE
State: relaxed

POSCAR file:
```
Tb2MnNi4Ge3
1.0
4.033 0.000 0.000
0.000 4.033 0.000
0.000 0.000 9.894
Tb Mn Ni Ge
2 1 4 3
Cartesian
0.000 2.017 2.459 Tb
2.017 0.000 7.435 Tb
0.000 0.000 4.947 Mn
0.000 0.000 0.000 Ni
0.000 2.017 6.282 Ni
2.017 0.000 3.612 Ni
2.017 2.017 0.000 Ni
0.000 2.017 8.617 Ge
2.017 0.000 1.277 Ge
2.017 2.017 4.947 Ge
```

Properties
Its density of states at the Fermi level is 0.858 states/eV per atom. Its symmetry is P-4m2. The calculation puts the calculated formation energy at -5.9 eV per formula unit. The energy is -61.27 eV/f.u.

No. 19
Material: TbMnNiGe2
Method: DFT, GGA-PBE
State: relaxed

POSCAR file:
```
TbMnNiGe2
1.0
-2.031 2.031 5.163
2.031 -2.031 5.163
2.031 2.031 -5.163
Tb Mn Ni Ge
1 1 1 2
Cartesian
0.000 0.000 0.000 Tb
2.031 0.000 2.582 Mn
0.000 2.031 2.582 Ni
0.000 0.000 3.904 Ge
0.000 0.000 6.423 Ge
```

Properties
Its density of states at the Fermi level is 0.606 states/eV per atom. Its symmetry is I-4m2. The calculation puts the calculated formation energy at -2.8 eV per formula unit. The energy is -31.63 eV/f.u.

No. 20
Material: MnNi7Ge2Te2
Method: DFT, GGA-PBE
State: relaxed

POSCAR file:
```
MnNi7Ge2Te2
1.0
2.570 -2.570 0.000
2.570 2.570 0.000
-2.528 0.000 14.124
Mn Ni Ge Te
1 7 2 2
Cartesian
0.000 0.000 0.000 Mn
1.284 1.284 1.756 Ni
0.027 0.000 8.467 Ni
1.327 1.284 12.369 Ni
2.570 0.000 0.000 Ni
1.284 -1.284 1.756 Ni
2.584 0.000 5.658 Ni
1.327 -1.284 12.369 Ni
0.041 0.000 10.841 Ge
2.570 0.000 3.284 Ge
0.015 0.000 5.855 Te
2.596 0.000 8.270 Te
```

Properties
Its density of states at the Fermi level is 0.709 states/eV per atom. Its symmetry is C2/m. The energy is -66.20 eV/f.u.